Density functional theory data (PBE) for NiW3 after structural relaxation.

a b c (Å): 4.9319 4.9319 4.9319
angles (deg): 90.00 90.00 90.00
Element x y z (fractional)
Ni  0.0000  0.0000  0.0000
Ni  0.5000  0.5000  0.5000
W  0.0000  0.2500  0.5000
W  0.0000  0.7500  0.5000
W  0.2500  0.5000  0.0000
W  0.5000  0.0000  0.2500
W  0.5000  0.0000  0.7500
W  0.7500  0.5000  0.0000

Summary:
The value obtained for the total energy is -11.0337 eV per atom.

=====

Density functional theory data (PBE) for Ni2W after structural relaxation.

a b c (Å): 4.7016 4.7016 15.4094
angles (deg): 90.00 90.00 120.00
Element x y z (fractional)
Ni  0.0000  0.5000  0.0000
Ni  0.0000  0.5000  0.5000
Ni  0.1640  0.3279  0.2500
Ni  0.1640  0.8360  0.2500
Ni  0.3279  0.1640  0.7500
Ni  0.3333  0.6667  0.1245
Ni  0.3333  0.6667  0.3755
Ni  0.5000  0.0000  0.0000
Ni  0.5000  0.0000  0.5000
Ni  0.5000  0.5000  0.0000
Ni  0.5000  0.5000  0.5000
Ni  0.6667  0.3333  0.6245
Ni  0.6667  0.3333  0.8755
Ni  0.6721  0.8360  0.2500
Ni  0.8360  0.1640  0.7500
Ni  0.8360  0.6721  0.7500
W  0.0000  0.0000  0.0961
W  0.0000  0.0000  0.4039
W  0.0000  0.0000  0.5961
W  0.0000  0.0000  0.9039
W  0.3333  0.6667  0.6569
W  0.3333  0.6667  0.8431
W  0.6667  0.3333  0.1569
W  0.6667  0.3333  0.3431

Summary:
The value obtained for the total energy is -8.1717 eV per atom.

=====

Density functional theory data (PBE) for Ni2W after structural relaxation.

a b c (Å): 5.0010 5.0010 6.1848
angles (deg): 103.64 103.64 30.66
Element x y z (fractional)
Ni  0.0000  0.0000  0.0000
Ni  0.0606  0.0606  0.6133
Ni  0.3444  0.3444  0.6753
Ni  0.6726  0.6726  0.3412
W  0.3998  0.3998  0.2911
W  0.7187  0.7187  0.9357

Summary:
The value obtained for the total energy is -8.0927 eV per atom.

=====

Density functional theory data (PBE) for Ni4W5 after structural relaxation.

a b c (Å): 7.4060 7.4060 5.2775
angles (deg): 90.00 90.00 120.00
Element x y z (fractional)
Ni  0.0000  0.0000  0.0000
Ni  0.0000  0.0000  0.5000
Ni  0.0000  0.3263  0.2500
Ni  0.0000  0.6737  0.7500
Ni  0.3263  0.0000  0.2500
Ni  0.3263  0.3263  0.7500
Ni  0.6737  0.0000  0.7500
Ni  0.6737  0.6737  0.2500
W  0.0000  0.3357  0.7500
W  0.0000  0.6643  0.2500
W  0.3333  0.6667  0.0000
W  0.3333  0.6667  0.5000
W  0.3357  0.0000  0.7500
W  0.3357  0.3357  0.2500
W  0.6643  0.0000  0.2500
W  0.6643  0.6643  0.7500
W  0.6667  0.3333  0.0000
W  0.6667  0.3333  0.5000

Summary:
The value obtained for the total energy is -9.6084 eV per atom.